DFT (PBE) results for a relaxed PmPtO3 crystal.

Cell lengths 3.678, 6.933, 5.473 Å; angles 90.00, 91.78, 90.00 degrees
Fractional positions:
Pm 0.229 0.250 0.484
Pm 0.771 0.750 0.516
Pt 0.500 0.000 0.000
Pt 0.500 0.500 0.000
O 0.265 0.558 0.677
O 0.265 0.942 0.677
O 0.345 0.750 0.152
O 0.655 0.250 0.848
O 0.735 0.058 0.323
O 0.735 0.442 0.323

Raw formation energy   -1.90 eV per atom
Magnetic moment   0.15 μB/atom

***

DFT (PBE) results for a relaxed Pm2PtO6 crystal.

Cell lengths 5.435, 6.183, 8.854 Å; angles 90.00, 122.27, 90.00 degrees
Fractional positions:
Pm 0.214 0.099 0.250
Pm 0.214 0.401 0.750
Pm 0.786 0.599 0.250
Pm 0.786 0.901 0.750
Pt 0.500 0.000 0.000
Pt 0.500 0.500 0.500
O 0.139 0.156 0.946
O 0.139 0.344 0.446
O 0.298 0.718 0.936
O 0.298 0.782 0.436
O 0.388 0.047 0.751
O 0.388 0.453 0.251
O 0.612 0.547 0.749
O 0.612 0.953 0.249
O 0.702 0.218 0.564
O 0.702 0.282 0.064
O 0.861 0.656 0.554
O 0.861 0.844 0.054

Raw formation energy   -2.01 eV per atom
Magnetic moment   0.16 μB/atom

***

DFT (PBE) results for a relaxed Pm2Pt2O7 crystal.

Cell lengths 7.401, 7.401, 7.401 Å; angles 60.00, 60.00, 60.00 degrees
Fractional positions:
Pm 0.000 0.000 0.000
Pm 0.000 0.000 0.500
Pm 0.000 0.500 0.000
Pm 0.500 0.000 0.000
Pt 0.000 0.500 0.500
Pt 0.500 0.000 0.500
Pt 0.500 0.500 0.000
Pt 0.500 0.500 0.500
O 0.125 0.125 0.125
O 0.163 0.163 0.587
O 0.163 0.587 0.163
O 0.163 0.587 0.587
O 0.413 0.413 0.837
O 0.413 0.837 0.413
O 0.413 0.837 0.837
O 0.587 0.163 0.163
O 0.587 0.163 0.587
O 0.587 0.587 0.163
O 0.837 0.413 0.413
O 0.837 0.413 0.837
O 0.837 0.837 0.413
O 0.875 0.875 0.875

Raw formation energy   -1.93 eV per atom
Magnetic moment   0.00 μB/atom

***

Q: The highest raw formation energy belongs to which entry?
A: PmPtO3